## Pr2TmPa (PBE-GGA)

Data for crystalline Pr2TmPa at its relaxed geometry.

Computed properties:
Total DFT energy (no corrections) = -22.8 eV for the cell shown
E_form = 190 meV/atom
Density of states at the Fermi level = 6.507 states/eV/f.u.
Distance to the lowest polymorph of the same formula = 0 meV/atom

a b c (Å): 3.459 3.459 10.460
angles (deg): 90.00 90.00 90.00
Space group P4/mmm (No. 123)
Asymmetric unit:
Pr: 0.000 0.000 0.235 x2
Tm: 0.500 0.500 0.500 x1
Pa: 0.500 0.500 0.000 x1